Tm2In3Pd: relaxed, PBE.

Cell and atoms, written as POSCAR:
```
Tm2In3Pd
1.0
3.483 0.000 0.000
0.000 4.851 0.000
0.000 0.000 8.337
In Tm Pd
3 2 1
Direct
0.500 0.500 0.652
0.500 0.000 0.176
0.500 0.000 0.833
0.000 0.000 0.486
0.000 0.500 0.026
0.500 0.500 0.326
```

Values from the calculation:
V = 140.9 Å³/cell
Space group = No. 25
Energy of formation = -528 meV/atom
Crystal system = orthorhombic
Final energy = -4.25 eV per atom